Entry from Alexandria: a PBEsol-optimized structure of CsIn2Au2 (SCAN).

```
10
Lattice="4.818 0.000 0.000 0.000 4.818 0.000 0.000 0.000 11.645" Properties=species:S:1:pos:R:3 pbc="T T T"
Cs 0.000 0.000 0.000
Cs 2.409 2.409 5.823
In 0.000 2.409 2.911
In 0.000 2.409 8.734
In 2.409 0.000 2.911
In 2.409 0.000 8.734
Au 0.000 0.000 4.418
Au 0.000 0.000 7.227
Au 2.409 2.409 1.404
Au 2.409 2.409 10.241
```

Total magnetization ... 0.00 μB/atom
DFT total energy ... -48.89 eV/atom
Volume ... 27.04 Å³/atom
SG ... I4/mmm (139)